Record 1
Density functional theory data (PBE) for Ta2ZnCo after structural relaxation.

CIF file:
```
data_Ta2ZnCo
_cell_length_a 2.8022
_cell_length_b 3.8806
_cell_length_c 5.5487
_cell_angle_alpha 90.00
_cell_angle_beta 90.00
_cell_angle_gamma 90.00
_symmetry_space_group_name_H-M 'P 1'
_symmetry_Int_Tables_number 1
loop_
_symmetry_equiv_pos_as_xyz
'x,y,z'
loop_
_atom_site_label
_atom_site_type_symbol
_atom_site_fract_x
_atom_site_fract_y
_atom_site_fract_z
Zn1 Zn 0.5000 0.5000 0.2500
Co1 Co 0.5000 0.5000 0.7500
Ta1 Ta 0.0000 0.0000 0.5101
Ta2 Ta 0.0000 0.0000 0.9899
```

Results
**Symmetry**: Pmmm (47)
**Energy relative to the elements**: -5 kJ/mol of formula units

=====

Record 2
Density functional theory data (PBE) for CaBiAsBr2 after structural relaxation.

CIF file:
```
data_CaBiAsBr2
_cell_length_a 5.6883
_cell_length_b 5.6883
_cell_length_c 5.5820
_cell_angle_alpha 90.00
_cell_angle_beta 90.00
_cell_angle_gamma 90.00
_symmetry_space_group_name_H-M 'P 1'
_symmetry_Int_Tables_number 1
loop_
_symmetry_equiv_pos_as_xyz
'x,y,z'
loop_
_atom_site_label
_atom_site_type_symbol
_atom_site_fract_x
_atom_site_fract_y
_atom_site_fract_z
Bi1 Bi 0.0000 0.0000 0.0000
Br1 Br 0.5000 0.0000 0.0000
Br2 Br 0.0000 0.5000 0.0000
Ca1 Ca 0.5000 0.5000 0.5000
As1 As 0.0000 0.0000 0.5000
```

Results
**Symmetry**: P4/mmm (123)
**Energy relative to the elements, uncorrected**: -1.57 eV/f.u.
**Energy above the most stable polymorph in this dataset**: 18 meV per atom

=====

Record 3
Density functional theory data (PBE) for Cs4RbNa2 after structural relaxation.

CIF file:
```
data_Cs4RbNa2
_cell_length_a 6.9005
_cell_length_b 9.6730
_cell_length_c 9.6730
_cell_angle_alpha 104.63
_cell_angle_beta 90.00
_cell_angle_gamma 90.00
_symmetry_space_group_name_H-M 'P 1'
_symmetry_Int_Tables_number 1
loop_
_symmetry_equiv_pos_as_xyz
'x,y,z'
loop_
_atom_site_label
_atom_site_type_symbol
_atom_site_fract_x
_atom_site_fract_y
_atom_site_fract_z
Na1 Na 0.0000 0.2922 0.7078
Cs1 Cs 0.0000 0.7985 0.7985
Rb1 Rb 0.5000 0.5000 0.5000
Cs2 Cs 0.0000 0.2015 0.2015
Na2 Na 0.0000 0.7078 0.2922
Cs3 Cs 0.5000 0.0000 0.5000
Cs4 Cs 0.5000 0.5000 0.0000
```

Results
**Symmetry**: Cmmm (65)
**Energy relative to the elements**: 29 kJ/mol of formula units
**Energy above the most stable polymorph in this dataset**: 0 meV per atom

=====

Let's list volume in order: 60.3; 180.6; 624.7 Å³/f.u..